8
Lattice="3.867 0.000 0.000 0.000 3.867 0.000 0.000 0.000 10.770" Properties=species:S:1:pos:R:3 comment="ZrAlCl2 (PBE-GGA, optimized geometry)" total_magnetization_mub_per_atom=0.129 dft_energy_ev_per_cell=-34.0 de_polymorph_kj_per_mol_fu=295.8 formation_energy_uncorrected_ev_per_atom=-0.260 pbc="T T T"
Zr 0.000 0.000 0.000
Zr 1.934 1.934 5.385
Al 0.000 1.934 8.077
Al 1.934 0.000 2.692
Cl 0.000 0.000 5.385
Cl 0.000 1.934 2.692
Cl 1.934 0.000 8.077
Cl 1.934 1.934 0.000

8
Lattice="10.819 0.000 0.000 0.000 3.194 0.000 -1.745 0.000 6.665" Properties=species:S:1:pos:R:3 comment="ZrAlCl2 (PBE-GGA, optimized geometry)" total_magnetization_mub_per_atom=0.000 dft_energy_ev_per_cell=-38.3 de_polymorph_kj_per_mol_fu=92.1 formation_energy_uncorrected_ev_per_atom=-0.788 pbc="T T T"
Zr 0.000 0.000 0.000
Zr 5.410 1.597 0.000
Al 1.212 0.000 6.354
Al 6.621 1.597 6.354
Cl 0.856 1.597 1.836
Cl 3.394 0.000 4.625
Cl 6.265 0.000 1.836
Cl 8.803 1.597 4.625

4
Lattice="3.136 0.000 0.000 0.000 4.482 0.000 0.000 0.000 5.620" Properties=species:S:1:pos:R:3 comment="ZrAlCl2 (PBE-GGA, optimized geometry)" total_magnetization_mub_per_atom=0.000 dft_energy_ev_per_cell=-18.2 de_polymorph_kj_per_mol_fu=182.7 formation_energy_uncorrected_ev_per_atom=-0.553 pbc="T T T"
Zr 0.000 0.000 0.000
Al 1.568 0.000 2.810
Cl 0.000 2.241 2.810
Cl 1.568 2.241 0.000

6
Lattice="6.311 0.000 0.000 0.000 3.172 0.000 -0.387 0.000 6.163" Properties=species:S:1:pos:R:3 comment="ZrAlCl (PBE-GGA, optimized geometry)" total_magnetization_mub_per_atom=0.000 dft_energy_ev_per_cell=-32.3 de_polymorph_kj_per_mol_fu=63.8 formation_energy_uncorrected_ev_per_atom=-0.674 pbc="T T T"
Zr 0.000 0.217 0.000
Zr -0.193 2.955 3.081
Al 1.742 1.547 1.690
Al 1.548 1.625 4.772
Cl 4.264 1.254 1.799
Cl 4.071 1.918 4.880

6
Lattice="3.127 0.000 0.000 0.000 3.127 0.000 0.000 0.000 14.304" Properties=species:S:1:pos:R:3 comment="ZrAlCl (PBE-GGA, optimized geometry)" total_magnetization_mub_per_atom=0.000 dft_energy_ev_per_cell=-31.9 de_polymorph_kj_per_mol_fu=86.2 formation_energy_uncorrected_ev_per_atom=-0.597 pbc="T T T"
Zr 0.000 0.000 0.000
Zr 1.564 1.564 7.152
Al 0.000 0.000 5.338
Al 1.564 1.564 12.489
Cl 0.000 0.000 8.930
Cl 1.564 1.564 1.779

4
Lattice="3.345 0.000 0.000 0.000 4.553 0.000 -0.187 0.000 5.374" Properties=species:S:1:pos:R:3 comment="ZrAlCl2 (PBE-GGA, optimized geometry)" total_magnetization_mub_per_atom=0.072 dft_energy_ev_per_cell=-18.4 de_polymorph_kj_per_mol_fu=163.1 formation_energy_uncorrected_ev_per_atom=-0.604 pbc="T T T"
Zr 0.000 0.000 0.000
Al 1.579 0.000 2.687
Cl 0.598 2.276 1.307
Cl 2.561 2.276 4.066

102
Lattice="12.409 0.000 0.000 0.000 14.394 0.000 0.000 0.000 8.214" Properties=species:S:1:pos:R:3 comment="Al13Co4 (PBE-GGA, optimized geometry)" total_magnetization_mub_per_atom=0.000 dft_energy_ev_per_cell=-502.3 e_form_mev_per_atom=-391 pbc="T T T"
Al 0.000 0.000 0.000
Al 0.000 7.197 2.058
Al 0.000 7.197 6.156
Al 0.361 1.936 1.829
Al 0.361 1.936 6.385
Al 0.560 9.837 1.830
Al 0.560 9.837 6.384
Al 0.675 13.274 4.107
Al 0.910 3.455 4.107
Al 1.394 3.685 0.000
Al 1.859 8.129 0.000
Al 1.905 11.899 0.000
Al 1.945 10.242 4.107
Al 1.964 5.308 2.371
Al 1.964 5.308 5.842
Al 1.982 7.567 4.107
Al 2.123 14.283 1.905
Al 2.123 14.283 6.309
Al 2.910 2.577 2.293
Al 2.910 2.577 5.921
Al 3.039 5.800 0.000
Al 3.165 12.997 4.107
Al 3.295 9.773 1.814
Al 3.295 9.773 6.400
Al 4.081 7.086 2.202
Al 4.081 7.086 6.012
Al 4.222 0.370 0.000
Al 4.240 12.504 1.736
Al 4.240 12.504 6.478
Al 4.260 3.045 0.000
Al 4.300 4.702 4.107
Al 4.345 0.932 4.107
Al 4.810 10.882 4.107
Al 5.295 10.652 0.000
Al 5.529 6.077 0.000
Al 5.644 2.640 2.277
Al 5.644 2.640 5.937
Al 5.843 9.133 2.278
Al 5.843 9.133 5.936
Al 6.204 0.000 2.049
Al 6.204 0.000 6.165
Al 6.204 7.197 4.107
Al 6.565 5.261 2.278
Al 6.565 5.261 5.936
Al 6.765 11.754 2.277
Al 6.765 11.754 5.937
Al 6.879 8.317 0.000
Al 7.114 3.742 0.000
Al 7.599 3.512 4.107
Al 8.064 13.461 4.107
Al 8.109 9.692 4.107
Al 8.149 11.349 0.000
Al 8.168 1.889 1.736
Al 8.168 1.889 6.478
Al 8.187 14.023 0.000
Al 8.328 7.308 2.202
Al 8.328 7.308 6.012
Al 9.114 4.620 1.814
Al 9.114 4.620 6.400
Al 9.243 1.397 4.107
Al 9.370 8.594 0.000
Al 9.499 11.817 2.293
Al 9.499 11.817 5.921
Al 10.285 0.111 1.905
Al 10.285 0.111 6.309
Al 10.426 6.826 4.107
Al 10.445 9.086 2.371
Al 10.445 9.086 5.842
Al 10.464 4.152 4.107
Al 10.504 2.495 0.000
Al 10.549 6.265 0.000
Al 11.014 10.709 0.000
Al 11.499 10.939 4.107
Al 11.734 1.120 4.107
Al 11.848 4.557 1.830
Al 11.848 4.557 6.384
Al 12.048 12.457 1.829
Al 12.048 12.457 6.385
Co 0.243 5.734 4.107
Co 0.608 5.892 0.000
Co 1.806 1.207 4.107
Co 1.944 11.853 2.269
Co 1.944 11.853 5.945
Co 2.010 1.445 0.000
Co 4.194 8.642 4.107
Co 4.260 4.656 1.838
Co 4.260 4.656 6.376
Co 4.399 8.404 0.000
Co 5.597 13.089 4.107
Co 5.961 12.931 0.000
Co 6.447 1.463 0.000
Co 6.812 1.305 4.107
Co 8.010 5.990 0.000
Co 8.148 9.738 1.838
Co 8.148 9.738 6.376
Co 8.215 5.752 4.107
Co 10.398 12.949 0.000
Co 10.465 2.541 2.269
Co 10.465 2.541 5.945
Co 10.603 13.186 4.107
Co 11.801 8.502 0.000
Co 12.166 8.660 4.107

4
Lattice="2.733 0.000 0.000 0.000 4.312 0.000 0.000 0.000 4.148" Properties=species:S:1:pos:R:3 comment="AlCo (PBE-GGA, optimized geometry)" total_magnetization_mub_per_atom=0.180 dft_energy_ev_per_cell=-22.8 e_form_mev_per_atom=-275 pbc="T T T"
Al 0.683 1.078 0.418
Al 2.049 3.234 3.729
Co 0.683 3.234 1.685
Co 2.049 1.078 2.463

3
Lattice="2.809 0.000 0.000 -1.404 2.433 0.000 0.000 0.000 6.323" Properties=species:S:1:pos:R:3 comment="Al2Co (PBE-GGA, optimized geometry)" total_magnetization_mub_per_atom=0.149 dft_energy_ev_per_cell=-15.1 e_form_mev_per_atom=-166 pbc="T T T"
Al 0.000 0.000 1.340
Al 0.000 0.000 4.982
Co 0.000 1.622 3.161

6
Lattice="3.703 0.000 0.000 -1.852 3.207 0.000 0.000 0.000 7.865" Properties=species:S:1:pos:R:3 comment="Al2Co (PBE-GGA, optimized geometry)" total_magnetization_mub_per_atom=0.000 dft_energy_ev_per_cell=-29.7 e_form_mev_per_atom=-84 pbc="T T T"
Al 0.000 2.138 0.717
Al 0.000 2.138 3.215
Al 1.852 1.069 4.650
Al 1.852 1.069 7.148
Co 0.000 2.138 5.899
Co 1.852 1.069 1.966

7
Lattice="4.875 0.000 0.000 0.000 4.875 0.000 0.000 0.000 4.875" Properties=species:S:1:pos:R:3 comment="Al4Co3 (PBE-GGA, optimized geometry)" total_magnetization_mub_per_atom=0.104 dft_energy_ev_per_cell=-31.9 de_polymorph_kj_per_mol_fu=759.4 e_form_mev_per_atom=629 pbc="T T T"
Al 0.948 0.948 3.927
Al 0.948 3.927 0.948
Al 3.927 0.948 0.948
Al 3.927 3.927 3.927
Co 0.000 2.437 2.437
Co 2.437 0.000 2.437
Co 2.437 2.437 0.000

16
Lattice="6.090 0.000 0.000 0.000 8.165 0.000 0.000 0.000 4.028" Properties=species:S:1:pos:R:3 comment="Al5Co3 (PBE-GGA, optimized geometry)" total_magnetization_mub_per_atom=0.000 dft_energy_ev_per_cell=-86.3 de_polymorph_kj_per_mol_fu=5.3 e_form_mev_per_atom=-387 pbc="T T T"
Al 0.000 0.000 0.000
Al 1.363 4.082 2.014
Al 1.523 2.041 0.000
Al 1.523 6.124 0.000
Al 1.683 0.000 2.014
Al 3.045 4.082 0.000
Al 4.408 0.000 2.014
Al 4.568 2.041 0.000
Al 4.568 6.124 0.000
Al 4.728 4.082 2.014
Co 0.000 1.942 2.014
Co 0.000 4.082 0.000
Co 0.000 6.223 2.014
Co 3.045 0.000 0.000
Co 3.045 2.140 2.014
Co 3.045 6.025 2.014